## Tb2CCl2 (GGA-PBE)

Data for a relaxed Tb2CCl2 crystal.

Output
- space-group type = No. 166
- formation energy (no corrections) (eV/atom) = -1.400
- magnetization (μB/cell) = 0.000
- uncorrected energy (eV per cell) = -29.2

Cell: 3.6628 3.6628 10.5270 Å, 79.98 79.98 60.00°
Last column: nearest neighbours and their distance in Å.
Element x y z (fractional)
Tb 0.3782 0.3782 0.8653  3 C 2.53, 3 Cl 2.81
Tb 0.6218 0.6218 0.1347  3 C 2.53, 3 Cl 2.81
C 0.0000 0.0000 0.0000  6 Tb 2.53
Cl 0.8953 0.8953 0.3142  3 Tb 2.81
Cl 0.1047 0.1047 0.6858  3 Tb 2.81

=====

## Re2POs (GGA-PBE)

Data for a relaxed Re2POs crystal.

Output
- space-group type = No. 123
- magnetization (μB/cell) = 0.000
- formation energy (eV/atom) = -0.085
- uncorrected energy (eV per cell) = -41.9
- DOS at the Fermi energy (states/eV/f.u.) = 3.2

Cell: 2.8779 2.8779 6.6474 Å, 90.00 90.00 90.00°
Last column: nearest neighbours and their distance in Å.
Element x y z (fractional)
Re 0.0000 0.0000 0.7197  4 P 2.50, 4 Os 2.76
Re 0.0000 0.0000 0.2803  4 P 2.50, 4 Os 2.76
P 0.5000 0.5000 0.5000  8 Re 2.50
Os 0.5000 0.5000 0.0000  8 Re 2.76, 4 Os 2.88

=====

## V4Re5W2 (GGA-PBE)

Data for a relaxed V4Re5W2 crystal.

Output
- space-group type = No. 2
- magnetization (μB/cell) = 0.000
- formation energy (eV/atom) = -0.136
- uncorrected energy (eV per cell) = -126.1
- DOS at the Fermi energy (states/eV/f.u.) = 6.7

Cell: 2.6995 7.4885 9.7079 Å, 82.57 68.89 61.90°
Last column: nearest neighbours and their distance in Å.
Element x y z (fractional)
V 0.4121 0.4532 0.3608  2 Re 2.59-2.60, 2 W 2.64-2.65, 4 V 2.67-2.73
V 0.2253 0.3647 0.0895  4 Re 2.59-2.65, 4 V 2.63-2.70
V 0.5879 0.5468 0.6392  2 Re 2.59-2.60, 2 W 2.64-2.65, 4 V 2.67-2.73
V 0.7747 0.6353 0.9105  4 Re 2.59-2.65, 4 V 2.63-2.70
Re 0.6688 0.0990 0.2702  2 V 2.59-2.61, 4 Re 2.68-2.74, 2 W 2.71-2.74
Re 0.3312 0.9010 0.7298  2 V 2.59-2.61, 4 Re 2.68-2.74, 2 W 2.71-2.74
Re 0.9880 0.7166 0.1782  3 V 2.59-2.62, 4 Re 2.70-2.74, 1 W 2.72
Re 0.5000 0.0000 0.0000  2 V 2.65, 6 Re 2.68-2.70
Re 0.0120 0.2834 0.8218  3 V 2.59-2.62, 4 Re 2.70-2.74, 1 W 2.72
W 0.8491 0.1870 0.5466  2 V 2.64-2.65, 3 W 2.70, 3 Re 2.71-2.74
W 0.1509 0.8130 0.4534  2 V 2.64-2.65, 3 W 2.70, 3 Re 2.71-2.74